No. 1
# Pm3Tc5N12 | the Open Quantum Materials Database | PBE | optimized geometry
data_Pm3Tc5N12
_chemical_formula_sum 'Pm24 Tc40 N96'
_space_group_name_H-M_alt 'I a -3 d'
_space_group_IT_number 230
_space_group_name_Hall '-I 4bd 2c 3'
_cell_length_a 12.7670
_cell_length_b 12.7670
_cell_length_c 12.7670
_cell_angle_alpha 90.00
_cell_angle_beta 90.00
_cell_angle_gamma 90.00
loop_
_atom_site_label
_atom_site_fract_x
_atom_site_fract_y
_atom_site_fract_z
Pm1 0.0000 0.2500 0.1250
Tc1 0.0000 0.0000 0.0000
Tc2 0.0000 0.2500 0.3750
N1 0.0344 0.0481 0.6485
# - Volume: 2080.98 Å³ per cell


No. 2
# Pm2Te2N | the Open Quantum Materials Database | PBE | optimized geometry
data_Pm2Te2N
_chemical_formula_sum 'Pm4 Te4 N2'
_space_group_name_H-M_alt 'P 4/n m m'
_space_group_IT_number 129
_cell_length_a 4.2275
_cell_length_b 4.2275
_cell_length_c 16.4843
_cell_angle_alpha 90.00
_cell_angle_beta 90.00
_cell_angle_gamma 90.00
loop_
_space_group_symop_operation_xyz
'x,y,z'
'-x,-y,-z'
'-y+1/2,x,z'
'y+1/2,-x,-z'
'-x+1/2,-y+1/2,z'
'x+1/2,y+1/2,-z'
'y,-x+1/2,z'
'-y,x+1/2,-z'
'x+1/2,-y,-z'
'-x+1/2,y,z'
'-y,-x,-z'
'y,x,z'
'-x,y+1/2,-z'
'x,-y+1/2,z'
'y+1/2,x+1/2,-z'
'-y+1/2,-x+1/2,z'
loop_
_atom_site_label
_atom_site_fract_x
_atom_site_fract_y
_atom_site_fract_z
Pm1 0.2500 0.2500 0.0651
Pm2 0.2500 0.2500 0.6324
Te1 0.2500 0.2500 0.4194
Te2 0.2500 0.2500 0.8115
N1 0.2500 0.7500 0.0000
# - Volume: 294.60 Å³ per cell


No. 3
# PmTm2N3 | the Open Quantum Materials Database | PBE | optimized geometry
data_PmTm2N3
_chemical_formula_sum 'Pm1 Tm2 N3'
_space_group_name_H-M_alt 'P -3 m 1'
_space_group_IT_number 164
_space_group_name_Hall '-P 3 2"'
_cell_length_a 3.4577
_cell_length_b 3.4577
_cell_length_c 8.4830
_cell_angle_alpha 90.00
_cell_angle_beta 90.00
_cell_angle_gamma 120.00
loop_
_atom_site_label
_atom_site_fract_x
_atom_site_fract_y
_atom_site_fract_z
Pm1 0.0000 0.0000 0.0000
Tm1 0.3333 0.6667 0.3387
N1 0.0000 0.0000 0.5000
N2 0.3333 0.6667 0.8215
# - Volume: 87.83 Å³ per cell


No. 4
# Pm2WN4 | the Open Quantum Materials Database | PBE | optimized geometry
data_Pm2WN4
_chemical_formula_sum 'Pm4 W2 N8'
_space_group_name_H-M_alt 'I 4/m m m'
_space_group_IT_number 139
_space_group_name_Hall '-I 4 2'
_cell_length_a 3.9415
_cell_length_b 3.9415
_cell_length_c 12.4090
_cell_angle_alpha 90.00
_cell_angle_beta 90.00
_cell_angle_gamma 90.00
loop_
_atom_site_label
_atom_site_fract_x
_atom_site_fract_y
_atom_site_fract_z
Pm1 0.0000 0.0000 0.1454
W1 0.0000 0.0000 0.5000
N1 0.0000 0.0000 0.3334
N2 0.0000 0.5000 0.0000
# - Volume: 192.78 Å³ per cell


No. 5
# Pm3W5N12 | the Open Quantum Materials Database | PBE | optimized geometry
data_Pm3W5N12
_chemical_formula_sum 'Pm24 W40 N96'
_space_group_name_H-M_alt 'I a -3 d'
_space_group_IT_number 230
_space_group_name_Hall '-I 4bd 2c 3'
_cell_length_a 12.8913
_cell_length_b 12.8913
_cell_length_c 12.8913
_cell_angle_alpha 90.00
_cell_angle_beta 90.00
_cell_angle_gamma 90.00
loop_
_atom_site_label
_atom_site_fract_x
_atom_site_fract_y
_atom_site_fract_z
Pm1 0.0000 0.2500 0.1250
W1 0.0000 0.0000 0.0000
W2 0.0000 0.2500 0.3750
N1 0.0333 0.0493 0.6476
# - Volume: 2142.35 Å³ per cell


No. 6
# Pm2WN3 | the Open Quantum Materials Database | PBE | optimized geometry
data_Pm2WN3
_chemical_formula_sum 'Pm4 W2 N6'
_space_group_name_H-M_alt 'I m m m'
_space_group_IT_number 71
_space_group_name_Hall '-I 2 2'
_cell_length_a 3.4698
_cell_length_b 3.9657
_cell_length_c 12.7738
_cell_angle_alpha 90.00
_cell_angle_beta 90.00
_cell_angle_gamma 90.00
loop_
_atom_site_label
_atom_site_fract_x
_atom_site_fract_y
_atom_site_fract_z
Pm1 0.0000 0.0000 0.1489
W1 0.0000 0.0000 0.5000
N1 0.0000 0.0000 0.3405
N2 0.0000 0.5000 0.5000
# - Volume: 175.77 Å³ per cell


Raw total energy per entry: -8.73, -5.90, -8.12, -9.03, -9.73, -9.04 eV per atom